1.
Entry from the Alexandria database: crystalline Cu2N2O at its relaxed geometry (PBEsol).

POSCAR file:
```
Cu2N2O
1.0
5.176 0.000 0.000
0.000 5.176 0.000
0.000 0.000 6.231
Cu N O
4 4 2
Direct
0.247 0.253 0.000
0.253 0.753 0.000
0.747 0.247 0.000
0.753 0.747 0.000
0.076 0.424 0.500
0.424 0.924 0.500
0.576 0.076 0.500
0.924 0.576 0.500
0.000 0.000 0.000
0.500 0.500 0.000
```

Computed properties:
Its space-group type is No. 127. The formation energy from raw total energies comes out at -0.0517 eV/atom.

2.
Entry from the Alexandria database: crystalline SrIrS2N at its relaxed geometry (PBEsol).

POSCAR file:
```
SrIrS2N
1.0
5.352 0.000 0.000
0.000 5.352 0.000
0.000 0.000 4.518
Sr Ir S N
1 1 2 1
Direct
0.000 0.000 0.000
0.500 0.500 0.500
0.000 0.500 0.000
0.500 0.000 0.000
0.000 0.000 0.500
```

Computed properties:
Its space-group type is No. 123. The formation energy from raw total energies comes out at 2.0038 eV/atom. The value obtained for the density of states at the Fermi level is 1.935 states/eV per atom.

3.
Entry from the Alexandria database: crystalline Mg2HgRh2 at its relaxed geometry (PBEsol).

POSCAR file:
```
Mg2HgRh2
1.0
6.957 0.000 0.000
0.000 6.957 0.000
0.000 0.000 3.491
Mg Hg Rh
4 2 4
Direct
0.161 0.339 0.000
0.339 0.839 0.000
0.661 0.161 0.000
0.839 0.661 0.000
0.000 0.000 0.500
0.500 0.500 0.500
0.136 0.636 0.500
0.364 0.136 0.500
0.636 0.864 0.500
0.864 0.364 0.500
```

Computed properties:
The calculated formation energy is -28 kJ per mole of atoms. Its space-group type is No. 127. The value obtained for the density of states at the Fermi level is 0.198 states/eV per atom.

4.
Entry from the Alexandria database: crystalline MnCoOs at its relaxed geometry (PBEsol).

POSCAR file:
```
MnCoOs
1.0
-1.283 1.283 5.257
1.283 -1.283 5.257
1.283 1.283 -5.257
Mn Co Os
1 1 1
Direct
0.000 0.000 0.000
0.346 0.346 0.000
0.671 0.671 0.000
```

Computed properties:
The calculated formation energy is 13 kJ per mole of atoms. Its space-group type is No. 107. The offset from the most stable computed form is 0 kJ/mol of formula units. The value obtained for the density of states at the Fermi level is 1.220 states/eV per atom.

5.
Entry from the Alexandria database: crystalline CrSbRhI2 at its relaxed geometry (PBEsol).

POSCAR file:
```
CrSbRhI2
1.0
5.436 0.000 0.000
0.000 5.436 0.000
0.000 0.000 4.933
Cr Sb Rh I
1 1 1 2
Direct
0.000 0.000 0.000
0.500 0.500 0.000
0.500 0.500 0.500
0.000 0.500 0.500
0.500 0.000 0.500
```

Computed properties:
Its space-group type is No. 123. The formation energy from raw total energies comes out at 0.6554 eV/atom. The value obtained for the density of states at the Fermi level is 0.626 states/eV per atom.

6.
Entry from the Alexandria database: crystalline HfTePCl2 at its relaxed geometry (PBEsol).

POSCAR file:
```
HfTePCl2
1.0
4.733 0.000 0.000
0.000 4.733 0.000
0.000 0.000 5.360
Hf Te P Cl
1 1 1 2
Direct
0.000 0.000 0.000
0.500 0.500 0.500
0.000 0.000 0.500
0.000 0.500 0.000
0.500 0.000 0.000
```

Computed properties:
Its space-group type is No. 123. The formation energy from raw total energies comes out at -0.4823 eV/atom. The value obtained for the density of states at the Fermi level is 0.842 states/eV per atom.

7.
Entry from the Alexandria database: crystalline LaZrRu2 at its relaxed geometry (PBEsol).

POSCAR file:
```
LaZrRu2
1.0
-1.658 2.326 4.854
1.658 -2.326 4.854
1.658 2.326 -4.854
La Zr Ru
1 1 2
Direct
0.000 0.000 0.000
0.735 0.235 0.500
0.249 0.749 0.500
0.493 0.493 0.000
```

Computed properties:
The calculated formation energy is 6 kJ per mole of atoms. Its space-group type is No. 44. The value obtained for the density of states at the Fermi level is 1.046 states/eV per atom.

8.
Entry from the Alexandria database: crystalline AlRh at its relaxed geometry (PBEsol).

POSCAR file:
```
AlRh
1.0
2.670 -5.516 0.000
2.670 5.516 0.000
0.000 0.000 3.834
Al Rh
4 4
Direct
0.153 0.847 0.000
0.258 0.258 0.500
0.742 0.742 0.500
0.847 0.153 0.000
0.000 0.500 0.500
0.381 0.619 0.000
0.500 0.000 0.500
0.619 0.381 0.000
```

Computed properties:
The calculated formation energy is -54 kJ per mole of atoms. Its space-group type is No. 65. The value obtained for the density of states at the Fermi level is 0.926 states/eV per atom.

9.
Entry from the Alexandria database: crystalline Ca2SbCl at its relaxed geometry (PBEsol).

POSCAR file:
```
Ca2SbCl
1.0
4.368 0.000 0.000
0.000 4.368 0.000
0.000 0.000 5.970
Ca Sb Cl
2 1 1
Direct
0.000 0.000 0.000
0.500 0.500 0.500
0.000 0.000 0.500
0.500 0.500 0.000
```

Computed properties:
Its space-group type is No. 123. The formation energy from raw total energies comes out at -1.4800 eV/atom. The value obtained for the density of states at the Fermi level is 0.021 states/eV per atom.

10.
Entry from the Alexandria database: crystalline Ta2TcSe at its relaxed geometry (PBEsol).

POSCAR file:
```
Ta2TcSe
1.0
2.910 -3.606 0.000
2.910 3.606 0.000
-0.471 0.000 3.089
Ta Tc Se
2 1 1
Direct
0.000 0.500 0.000
0.500 0.000 0.000
0.000 0.000 0.500
0.500 0.500 0.500
```

Computed properties:
Its space-group type is No. 12. The formation energy from raw total energies comes out at -0.0465 eV/atom. The value obtained for the density of states at the Fermi level is 0.630 states/eV per atom.

11.
Entry from the Alexandria database: crystalline AlAgO2 at its relaxed geometry (PBEsol).

POSCAR file:
```
AlAgO2
1.0
-2.460 2.460 4.137
2.460 -2.460 4.137
2.460 2.460 -4.137
Al Ag O
2 2 4
Direct
0.000 0.000 0.000
0.750 0.250 0.500
0.250 0.750 0.500
0.500 0.500 0.000
0.024 0.125 0.399
0.375 0.976 0.101
0.726 0.625 0.601
0.875 0.274 0.899
```

Computed properties:
Its space-group type is No. 122. The formation energy from raw total energies comes out at -1.8630 eV/atom.

12.
Entry from the Alexandria database: crystalline SiBSe2N at its relaxed geometry (PBEsol).

POSCAR file:
```
SiBSe2N
1.0
4.984 0.000 0.000
0.000 4.984 0.000
0.000 0.000 3.227
Si B Se N
1 1 2 1
Direct
0.000 0.000 0.000
0.500 0.500 0.500
0.000 0.500 0.000
0.500 0.000 0.000
0.000 0.000 0.500
```

Computed properties:
Its space-group type is No. 123. The formation energy from raw total energies comes out at 0.9534 eV/atom. The value obtained for the density of states at the Fermi level is 0.518 states/eV per atom.

no.,magnetization (μB per formula unit)
1,0.0
2,5.5
3,0.0
4,0.1
5,5.0
6,0.0
7,0.0
8,0.0
9,0.0
10,0.0
11,0.0
12,0.0